Entry from Alexandria via LeMat-Bulk: TbPrYZr after structural relaxation (PBE).

abc: 5.560 5.560 5.560
angles: 60.00 60.00 60.00
Fractional coordinates of all 4 atoms:
Pr  0.750  0.750  0.750
Y  0.500  0.500  0.500
Tb  0.000  0.000  0.000
Zr  0.250  0.250  0.250

Results
space-group type	F-43m
energy of formation	0.23	eV/atom
DOS(E_F)	7.7	states/eV per cell